No. 1
8
Lattice="-0.6937 -2.5509 5.6467 3.1543 -3.6710 -3.9305 3.4135 5.2162 0.1161" Properties=species:S:1:pos:R:3 comment="Ca2CrH, PBEsol geometry, DFT meta-GGA SCAN" n_ef_per_ev_fu=1.7 vol_a3_per_atom=23.1 total_magnetization_mub_per_cell=9.70 total_energy_ev_per_atom=-10.194 pbc="T T T"
Cr 2.8722 -2.7246 -0.0954
Cr 0.0000 0.0000 0.0000
H 3.0018 1.7189 1.9279
H 3.2839 0.7726 -1.9072
Ca 1.4386 -3.5212 3.0193
Ca 5.1062 -0.2113 -1.1366
Ca 2.7935 2.1292 -0.2333
Ca 2.4099 -0.4081 2.0155

No. 2
5
Lattice="-2.6295 -4.7458 0.3354 4.6982 -2.5298 1.0370 -0.7493 0.7915 5.3255" Properties=species:S:1:pos:R:3 comment="Tl3AgS, PBEsol geometry, DFT meta-GGA SCAN" n_ef_per_ev_fu=4.0 vol_a3_per_atom=32.1 total_magnetization_mub_per_cell=0.00 formation_energy_uncorrected_ev_per_atom=0.42 pbc="T T T"
S 0.0000 0.0000 0.0000
Ag 0.6597 -3.2421 3.3490
Tl -0.3746 0.3958 2.6628
Tl 2.3491 -1.2649 0.5185
Tl -1.3147 -2.3729 0.1677

No. 3
3
Lattice="-3.6229 0.9327 -0.3670 -0.9997 -3.4621 1.0701 2.1939 3.0930 5.4540" Properties=species:S:1:pos:R:3 comment="KTlAg, PBEsol geometry, DFT meta-GGA SCAN" n_ef_per_ev_fu=1.6 vol_a3_per_atom=28.7 total_magnetization_mub_per_cell=0.00 e_form_mev_per_atom=-14 pbc="T T T"
Ag -0.0082 0.1272 0.4040
K -0.0788 1.2263 3.8941
Tl -2.3418 -0.7899 1.8590

No. 4
4
Lattice="-0.9924 -3.2550 -2.1107 1.8864 -2.4535 2.8967 -5.1292 2.4994 2.3555" Properties=species:S:1:pos:R:3 comment="Li2TlTe, PBEsol geometry, DFT meta-GGA SCAN" n_ef_per_ev_fu=1.0 vol_a3_per_atom=23.1 de_polymorph_mev_per_atom=46 total_magnetization_mub_per_cell=0.00 formation_energy_uncorrected_ev_per_atom=-0.54 pbc="T T T"
Li -0.0205 -0.0015 0.0120
Li -0.9958 -1.3737 2.5866
Te 0.2011 -2.8729 0.5374
Tl -2.9730 -1.8152 0.3986